This record from Alexandria via LeMat-Bulk describes a relaxed structure of Tl7HgSe3. The functional is GGA-PBE.

abc: 8.980 10.671 7.615
angles: 90.00 94.14 90.00
Space group C2/m (No. 12)
One atom of each set of equivalent atoms:
1 Tl 0.000 0.000 0.000 (multiplicity 2)
2 Tl 0.179 0.500 0.190 (multiplicity 4)
3 Tl 0.214 0.314 0.710 (multiplicity 8)
4 Hg 0.000 0.000 0.500 (multiplicity 2)
5 Se 0.000 0.296 0.000 (multiplicity 4)
6 Se 0.000 0.500 0.500 (multiplicity 2)

**Formation energy from raw total energies**: -0.2465 eV per atom